1.
Density functional theory data (PBE) for a relaxed Sm3MgBi4 crystal.

The structure belongs to space group Pm-3m (No. 221); the cell edges are 6.4174, 6.4174 and 6.4174 Å and the angles 90.00°, 90.00° and 90.00°. The asymmetric unit holds Sm at (0.0000, 0.0000, 0.5000), Mg at (0.5000, 0.5000, 0.5000), Bi at (0.0000, 0.0000, 0.0000) and Bi at (0.0000, 0.5000, 0.5000).

As for the crystal system: cubic. The calculation puts the calculated density at 8.24 g cm⁻³. The value obtained for the total DFT energy (no corrections) is -4.5561 eV/atom.


2.
Density functional theory data (PBE) for a relaxed Sm2MgBi4 crystal.

The structure belongs to space group P-4m2 (No. 115); the cell edges are 4.5280, 4.5280 and 10.7573 Å and the angles 90.00°, 90.00° and 90.00°. The asymmetric unit holds Sm at (0.0000, 0.5000, 0.2373), Mg at (0.0000, 0.0000, 0.5000), Bi at (0.0000, 0.0000, 0.0000), Bi at (0.0000, 0.5000, 0.6748) and Bi at (0.5000, 0.5000, 0.0000).

As for the crystal system: tetragonal. The calculation puts the calculated density at 8.74 g cm⁻³. The value obtained for the total DFT energy (no corrections) is -4.3354 eV/atom.


3.
Density functional theory data (PBE) for a relaxed SmMgBi2 crystal.

The structure belongs to space group P4/mmm (No. 123); the cell edges are 5.1702, 5.1702 and 4.2746 Å and the angles 90.00°, 90.00° and 90.00°. The asymmetric unit holds Sm at (0.0000, 0.0000, 0.0000), Mg at (0.5000, 0.5000, 0.0000) and Bi at (0.0000, 0.5000, 0.5000).

As for the crystal system: tetragonal. The calculation puts the calculated density at 8.61 g cm⁻³. The energy relative to the lowest polymorph listed for this composition is 39 meV per atom.


4.
Density functional theory data (PBE) for a relaxed SmMgBi2 crystal.

The structure belongs to space group R-3m (No. 166, hexagonal axes); the cell edges are 4.5279, 4.5279 and 21.2728 Å and the angles 90.00°, 90.00° and 120.00°. The asymmetric unit holds Sm at (0.0000, 0.0000, 0.0000), Mg at (0.0000, 0.0000, 0.5000) and Bi at (0.0000, 0.0000, 0.2445).

As for the crystal system: trigonal. The calculation puts the calculated density at 7.82 g cm⁻³. The energy relative to the lowest polymorph listed for this composition is 111 meV per atom.


Number 1: volume 33.04 Å³/atom. Number 2: volume 31.51 Å³/atom. Number 3: volume 28.57 Å³/atom. Number 4: volume 31.48 Å³/atom.